No. 1
VASP calculation (PBE-GGA) on a relaxed structure of Pm12YTm7.

Results
- energy of formation (meV per atom) = 225
- total magnetization (Bohr magnetons per cell) = 0.00
- calculated volume (A^3/atom) = 33.8
- DFT total energy (eV/cell) = -270.8
- energy above the lowest structure with this stoichiometry (eV/f.u.) = 0.00

Lattice parameters (Å, degrees): 12.0638 12.0638 16.1105 90.00 90.00 120.00
Space group R-3 (No. 148, hexagonal axes)
Asymmetric unit:
Pm: 0.0216 0.5724 0.2226 [18 per cell]
Pm: 0.0567 0.8684 0.2891 [18 per cell]
Y: 0.0000 0.0000 0.0000 [3 per cell]
Tm: 0.0000 0.0000 0.5000 [3 per cell]
Tm: 0.0544 0.4669 0.5829 [18 per cell]

No. 2
VASP calculation (PBE-GGA) on a relaxed structure of Pm7Y16Tm6.

Results
- energy of formation (meV per atom) = 182
- total magnetization (Bohr magnetons per cell) = 0.00
- calculated volume (A^3/atom) = 33.0
- DFT total energy (eV/cell) = -632.9

Lattice parameters (Å, degrees): 15.642 15.642 15.642 90.00 90.00 90.00
Space group Fm-3m (No. 225)
Asymmetric unit:
Pm: 0.000 0.000 0.000 [4 per cell]
Pm: 0.000 0.250 0.250 [24 per cell]
Y: 0.113 0.113 0.387 [32 per cell]
Y: 0.150 0.150 0.150 [32 per cell]
Tm: 0.000 0.000 0.224 [24 per cell]

No. 3
VASP calculation (PBE-GGA) on a relaxed structure of Pm10YTm4.

Results
- energy of formation (meV per atom) = 444
- total magnetization (Bohr magnetons per cell) = 0.00
- calculated volume (A^3/atom) = 35.7
- DFT total energy (eV/cell) = -130.4

Lattice parameters (Å, degrees): 9.944 9.944 10.835 90.00 90.00 90.00
Space group I4/m (No. 87)
Asymmetric unit:
Pm: 0.000 0.500 0.250 [4 per cell]
Pm: 0.120 0.227 0.167 [16 per cell]
Y: 0.000 0.000 0.000 [2 per cell]
Tm: 0.056 0.282 0.500 [8 per cell]

No. 4
VASP calculation (PBE-GGA) on a relaxed structure of Pm6Y3Tm2.

Results
- energy of formation (meV per atom) = 291
- total magnetization (Bohr magnetons per cell) = 0.00
- calculated volume (A^3/atom) = 34.8
- DFT total energy (eV/cell) = -107.3
- energy above the lowest structure with this stoichiometry (eV/f.u.) = 3.04

Lattice parameters (Å, degrees): 4.786 4.786 33.412 90.00 90.00 90.00
Space group I4/mmm (No. 139)
Asymmetric unit:
Pm: 0.000 0.000 0.195 [4 per cell]
Pm: 0.000 0.500 0.119 [8 per cell]
Y: 0.000 0.000 0.299 [4 per cell]
Y: 0.000 0.000 0.500 [2 per cell]
Tm: 0.000 0.000 0.045 [4 per cell]

No. 5
VASP calculation (PBE-GGA) on a relaxed structure of Pm3YTm6.

Results
- energy of formation (meV per atom) = 156
- total magnetization (Bohr magnetons per cell) = 0.00
- calculated volume (A^3/atom) = 32.0
- DFT total energy (eV/cell) = -183.9
- energy above the lowest structure with this stoichiometry (eV/f.u.) = 0.00

Lattice parameters (Å, degrees): 10.860 18.660 6.324 90.00 90.00 90.00
Space group Cmc2_1 (No. 36)
Asymmetric unit:
Pm: 0.000 0.112 0.000 [4 per cell]
Pm: 0.180 0.387 0.398 [8 per cell]
Y: 0.000 0.310 0.061 [4 per cell]
Tm: 0.000 0.232 0.584 [4 per cell]
Tm: 0.000 0.464 0.788 [4 per cell]
Tm: 0.168 0.046 0.475 [8 per cell]
Tm: 0.237 0.211 0.300 [8 per cell]

No. 6
VASP calculation (PBE-GGA) on a relaxed structure of Pm4YTm.

Results
- energy of formation (meV per atom) = 106
- total magnetization (Bohr magnetons per cell) = 0.00
- calculated volume (A^3/atom) = 33.4
- DFT total energy (eV/cell) = -58.6
- energy above the lowest structure with this stoichiometry (eV/f.u.) = 0.00

Lattice parameters (Å, degrees): 11.179 5.978 5.990 90.00 90.02 90.00
Space group C2/m (No. 12)
Asymmetric unit:
Pm: 0.162 0.000 0.013 [4 per cell]
Pm: 0.162 0.500 0.487 [4 per cell]
Y: 0.000 0.000 0.500 [2 per cell]
Tm: 0.000 0.500 0.000 [2 per cell]